# 1
4
Lattice="4.424 0.000 0.000 0.000 4.424 0.000 0.000 0.000 4.376" Properties=species:S:1:pos:R:3 comment="PaZn2Sn | Alexandria via LeMat-Bulk | PBE | relaxed" polymorph_energy_ev_per_atom=0.000 formation_enthalpy_0k_ev_per_atom=-0.116 pbc="T T T"
Pa 0.000 0.000 0.000
Zn 0.000 2.212 2.188
Zn 2.212 0.000 2.188
Sn 2.212 2.212 0.000


# 2
5
Lattice="5.672 0.000 0.000 0.000 5.672 0.000 0.000 0.000 4.776" Properties=species:S:1:pos:R:3 comment="LiNiSbI2 | Alexandria via LeMat-Bulk | PBE | relaxed" polymorph_energy_ev_per_atom=0.000 pbc="T T T"
Li 0.000 0.000 0.000
Ni 2.836 2.836 2.388
Sb 2.836 2.836 0.000
I 0.000 2.836 2.388
I 2.836 0.000 2.388


# 3
5
Lattice="5.322 0.000 0.000 0.000 5.322 0.000 0.000 0.000 5.307" Properties=species:S:1:pos:R:3 comment="SiSbTe2Pb | Alexandria via LeMat-Bulk | PBE | relaxed" polymorph_energy_ev_per_atom=0.000 pbc="T T T"
Si 0.000 0.000 0.000
Sb 0.000 0.000 2.654
Te 0.000 2.661 0.000
Te 2.661 0.000 0.000
Pb 2.661 2.661 2.654


# 4
4
Lattice="0.000 3.654 3.654 3.654 0.000 3.654 3.654 3.654 0.000" Properties=species:S:1:pos:R:3 comment="CeThPdAu | Alexandria via LeMat-Bulk | PBE | relaxed" polymorph_energy_ev_per_atom=0.081 formation_enthalpy_0k_ev_per_atom=-0.585 pbc="T T T"
Ce 0.000 0.000 0.000
Th 3.654 3.654 3.654
Pd 1.827 1.827 1.827
Au 5.481 5.481 5.481


# 5
4
Lattice="-1.747 2.243 4.762 1.747 -2.243 4.762 1.747 2.243 -4.762" Properties=species:S:1:pos:R:3 comment="CaPt2Se | Alexandria via LeMat-Bulk | PBE | relaxed" e_tot_ev_per_atom=-4.95 pbc="T T T"
Ca 0.000 0.000 0.000
Pt 1.747 0.000 2.636
Pt 0.000 2.243 2.126
Se 0.000 0.000 4.762


# 6
10
Lattice="6.475 0.000 0.000 -3.237 5.607 0.000 0.000 0.000 5.661" Properties=species:S:1:pos:R:3 comment="BaCuPd3 | Alexandria via LeMat-Bulk | PBE | relaxed" polymorph_energy_ev_per_atom=0.000 formation_enthalpy_0k_ev_per_atom=-0.194 pbc="T T T"
Ba 0.000 3.738 1.415
Ba 3.237 1.869 4.246
Cu 0.000 0.000 0.000
Cu 0.000 0.000 2.831
Pd 0.000 2.122 4.246
Pd -1.400 4.547 4.246
Pd 1.837 1.061 1.415
Pd 1.400 4.547 4.246
Pd 4.637 1.061 1.415
Pd 3.237 3.486 1.415